Record 1
Entry from Alexandria: a geometry-optimized NbAl4Ru5 structure (PBE).

Unit cell a=3.069 b=3.069 c=15.029 alpha=90.00 beta=90.00 gamma=90.00
Atoms (fractional coordinates):
Al: 0.000 0.000 0.209
Nb: 0.000 0.000 0.000
Ru: 0.500 0.500 0.698
Ru: 0.500 0.500 0.896
Ru: 0.500 0.500 0.500
Al: 0.000 0.000 0.791
Ru: 0.500 0.500 0.104
Ru: 0.500 0.500 0.302
Al: 0.000 0.000 0.402
Al: 0.000 0.000 0.598

Summary:
Calculated total energy, eV per atom: -7.76
ΔE_f, eV/f.u.: -6.23
Space-group type: P4/mmm
Crystal system: tetragonal
Spin magnetization, Bohr magnetons per cell: 0.00

Record 2
Entry from Alexandria: a geometry-optimized Nb5AlRu6 structure (PBE).

Unit cell a=4.450 b=7.850 c=7.850 alpha=122.06 beta=106.50 gamma=106.50
Atoms (fractional coordinates):
Al: 0.000 0.000 0.000
Nb: 0.000 0.672 0.328
Nb: 0.500 0.167 0.833
Ru: 0.753 0.909 0.596
Ru: 0.247 0.404 0.091
Ru: 0.753 0.596 0.909
Ru: 0.749 0.249 0.249
Nb: 0.500 0.833 0.167
Nb: 0.000 0.328 0.672
Nb: 0.500 0.500 0.500
Ru: 0.247 0.091 0.404
Ru: 0.251 0.751 0.751

Summary:
Calculated total energy, eV per atom: -9.48
ΔE_f, eV/f.u.: -4.06
Space-group type: C2/m
Crystal system: monoclinic
Spin magnetization, Bohr magnetons per cell: 0.00

Record 3
Entry from Alexandria: a geometry-optimized Nb2AlRu3 structure (PBE).

Unit cell a=3.135 b=4.396 c=7.009 alpha=108.27 beta=90.00 gamma=90.00
Atoms (fractional coordinates):
Ru: 0.500 0.837 0.674
Nb: 0.000 0.336 0.672
Ru: 0.500 0.163 0.326
Al: 0.000 0.000 0.000
Nb: 0.000 0.664 0.328
Ru: 0.500 0.500 0.000

Summary:
Calculated total energy, eV per atom: -9.07
ΔE_f, eV/f.u.: -2.70
Space-group type: Cmmm
Crystal system: orthorhombic
Spin magnetization, Bohr magnetons per cell: 0.00

Record 4
Entry from Alexandria: a geometry-optimized Nb4AlRu5 structure (PBE).

Unit cell a=3.088 b=3.088 c=16.378 alpha=90.00 beta=90.00 gamma=90.00
Atoms (fractional coordinates):
Nb: 0.000 0.000 0.189
Ru: 0.500 0.500 0.500
Nb: 0.000 0.000 0.604
Ru: 0.500 0.500 0.710
Nb: 0.000 0.000 0.396
Ru: 0.500 0.500 0.092
Ru: 0.500 0.500 0.908
Nb: 0.000 0.000 0.811
Ru: 0.500 0.500 0.290
Al: 0.000 0.000 0.000

Summary:
Calculated total energy, eV per atom: -9.39
ΔE_f, eV/f.u.: -3.47
Space-group type: P4/mmm
Crystal system: tetragonal
Spin magnetization, Bohr magnetons per cell: 0.00